NpZn2NiO8, relaxed, DFT PBE with a Hubbard U; SG = I-4m2, No. 119; volume = 148.52 Å³ per cell; energy = -5.984 eV/atom
1.0
-3.207 3.207 3.610
3.207 -3.207 3.610
3.207 3.207 -3.610
Np Zn Ni O
1 2 1 8
direct
0.000 0.000 0.000
0.500 0.500 0.000
0.750 0.250 0.500
0.250 0.750 0.500
0.288 0.087 0.799
0.288 0.490 0.201
0.353 0.056 0.297
0.510 0.712 0.799
0.760 0.056 0.703
0.913 0.712 0.201
0.944 0.240 0.297
0.944 0.647 0.703